CePmSe (PBE-GGA, relaxed); ΔE to the lowest computed polymorph = 47 meV per atom
1.0
3.967 0.000 0.000
-1.983 3.435 0.000
0.000 0.000 6.763
Ce Pm Se
1 1 1
direct
0.000 0.000 0.000
0.667 0.333 0.449
0.333 0.667 0.723



A plane-wave DFT calculation with PBE-GGA was carried out for a relaxed structure of CePm4Se7.

```
CePm4Se7
1.0
6.922 -2.042 0.000
6.922 2.042 0.000
-3.166 0.000 12.067
Ce Pm Se
1 4 7
direct
0.000 0.000 0.000
0.113 0.113 0.422
0.227 0.227 0.843
0.414 0.414 0.611
0.813 0.813 0.234
0.072 0.072 0.637
0.155 0.155 0.207
0.372 0.372 0.072
0.454 0.454 0.372
0.614 0.614 0.920
0.773 0.773 0.472
0.853 0.853 0.771
```



A plane-wave DFT calculation with PBE-GGA was carried out for a relaxed structure of CePmSiSe.

```
CePmSiSe
1.0
2.107 1.216 6.920
-2.107 1.216 6.920
0.000 -2.432 6.920
Ce Pm Si Se
1 1 1 1
direct
0.000 0.000 0.000
0.507 0.507 0.507
0.255 0.255 0.255
0.753 0.753 0.753
```



A plane-wave DFT calculation with PBE-GGA was carried out for a relaxed structure of Ce3Pm3SmSe8.

```
Ce3Pm3SmSe8
1.0
4.193 2.421 6.841
-4.193 2.421 6.841
0.000 -4.842 6.841
Ce Pm Sm Se
3 3 1 8
direct
0.000 0.500 0.500
0.500 0.000 0.500
0.500 0.500 0.000
0.000 0.000 0.500
0.000 0.500 0.000
0.500 0.000 0.000
0.000 0.000 0.000
0.250 0.250 0.250
0.250 0.749 0.749
0.251 0.251 0.750
0.251 0.750 0.251
0.749 0.250 0.749
0.749 0.749 0.250
0.750 0.251 0.251
0.750 0.750 0.750
```



A plane-wave DFT calculation with PBE-GGA was carried out for a relaxed structure of Ce4Pm3SmSe8.

```
Ce4Pm3SmSe8
1.0
4.190 2.419 6.880
-4.190 2.419 6.880
0.000 -4.838 6.880
Ce Pm Sm Se
4 3 1 8
direct
0.000 0.000 0.000
0.000 0.500 0.500
0.500 0.000 0.500
0.500 0.500 0.000
0.000 0.000 0.500
0.000 0.500 0.000
0.500 0.000 0.000
0.500 0.500 0.500
0.250 0.250 0.250
0.250 0.749 0.749
0.251 0.251 0.750
0.251 0.750 0.251
0.749 0.250 0.749
0.749 0.749 0.250
0.750 0.251 0.251
0.750 0.750 0.750
```



A plane-wave DFT calculation with PBE-GGA was carried out for a relaxed structure of Ce2Pm3SmSe6.

```
Ce2Pm3SmSe6
1.0
3.624 -6.287 0.000
3.624 6.287 0.000
-2.422 0.000 6.867
Ce Pm Sm Se
2 3 1 6
direct
0.166 0.834 0.000
0.834 0.166 0.000
0.000 0.000 0.500
0.335 0.665 0.500
0.665 0.335 0.500
0.500 0.500 0.000
0.084 0.417 0.750
0.250 0.250 0.249
0.417 0.084 0.750
0.583 0.916 0.250
0.750 0.750 0.751
0.916 0.583 0.250
```



A plane-wave DFT calculation with PBE-GGA was carried out for a relaxed structure of CePm3Sm3Se8.

```
CePm3Sm3Se8
1.0
4.177 2.411 6.819
-4.177 2.411 6.819
0.000 -4.823 6.819
Ce Pm Sm Se
1 3 3 8
direct
0.000 0.000 0.000
0.000 0.000 0.500
0.000 0.500 0.000
0.500 0.000 0.000
0.000 0.500 0.500
0.500 0.000 0.500
0.500 0.500 0.000
0.251 0.251 0.251
0.254 0.254 0.744
0.254 0.744 0.254
0.256 0.746 0.746
0.744 0.254 0.254
0.746 0.256 0.746
0.746 0.746 0.256
0.749 0.749 0.749
```



A plane-wave DFT calculation with PBE-GGA was carried out for a relaxed structure of CePm2Sm3Se6.

```
CePm2Sm3Se6
1.0
3.616 -6.279 0.000
3.616 6.279 0.000
-2.420 0.000 6.846
Ce Pm Sm Se
1 2 3 6
direct
0.000 0.000 0.000
0.332 0.668 0.000
0.668 0.332 0.000
0.170 0.830 0.500
0.500 0.500 0.500
0.830 0.170 0.500
0.084 0.416 0.252
0.248 0.248 0.747
0.416 0.084 0.252
0.584 0.916 0.748
0.752 0.752 0.253
0.916 0.584 0.748
```



A plane-wave DFT calculation with PBE-GGA was carried out for a relaxed structure of CePm3Sm2Se6.

```
CePm3Sm2Se6
1.0
9.122 -2.088 0.000
9.122 2.088 0.000
-1.928 0.000 8.195
Ce Pm Sm Se
1 3 2 6
direct
0.000 0.000 0.000
0.000 0.000 0.500
0.333 0.333 0.166
0.667 0.667 0.834
0.334 0.334 0.669
0.666 0.666 0.331
0.167 0.167 0.084
0.168 0.168 0.582
0.500 0.500 0.251
0.500 0.500 0.749
0.832 0.832 0.418
0.833 0.833 0.916
```



A plane-wave DFT calculation with PBE-GGA was carried out for a relaxed structure of Ce2PmSm3Se6.

```
Ce2PmSm3Se6
1.0
3.616 -6.272 0.000
3.616 6.272 0.000
-2.416 0.000 6.863
Ce Pm Sm Se
2 1 3 6
direct
0.166 0.834 0.000
0.834 0.166 0.000
0.500 0.500 0.000
0.000 0.000 0.500
0.336 0.664 0.500
0.664 0.336 0.500
0.082 0.416 0.747
0.250 0.250 0.251
0.416 0.082 0.747
0.584 0.918 0.253
0.750 0.750 0.749
0.918 0.584 0.253
```



A plane-wave DFT calculation with PBE-GGA was carried out for a relaxed structure of Ce2PmSmSe5.

```
Ce2PmSmSe5
1.0
5.247 0.000 0.000
0.000 5.247 0.000
0.000 0.000 11.008
Ce Pm Sm Se
2 1 1 5
direct
0.000 0.000 0.183
0.000 0.000 0.817
0.500 0.500 0.500
0.500 0.500 0.000
0.000 0.000 0.500
0.000 0.500 0.000
0.500 0.000 0.000
0.500 0.500 0.254
0.500 0.500 0.746
```



A plane-wave DFT calculation with PBE-GGA was carried out for a relaxed structure of Ce3PmSm3Se8.

```
Ce3PmSm3Se8
1.0
4.187 2.417 6.818
-4.187 2.417 6.818
0.000 -4.834 6.818
Ce Pm Sm Se
3 1 3 8
direct
0.000 0.500 0.500
0.500 0.000 0.500
0.500 0.500 0.000
0.000 0.000 0.000
0.000 0.000 0.500
0.000 0.500 0.000
0.500 0.000 0.000
0.249 0.249 0.249
0.251 0.747 0.747
0.253 0.253 0.749
0.253 0.749 0.253
0.747 0.251 0.747
0.747 0.747 0.251
0.749 0.253 0.253
0.751 0.751 0.751
```



Raw formation energy? In order: -1.00, -1.86, -1.26, -1.86, -1.83, -1.83, -1.85, -1.83, -1.83, -1.83, -1.22, -1.86 eV/atom.